Computed, not measured: HfSc2FeI after structural relaxation at the GGA-PBE level of DFT.

The structure belongs to space group P4/mmm (No. 123); the cell edges are 5.241, 5.241 and 5.258 Å and the angles 90.00°, 90.00° and 90.00°. The distinct sites, in fractional coordinates, are Hf at (0.000, 0.000, 0.000), Sc at (0.000, 0.500, 0.000), Fe at (0.500, 0.500, 0.500) and I at (0.000, 0.000, 0.500).

As for the uncorrected formation energy: 1.251 eV/atom. The calculated volume comes out at 144 Å³/cell. The value obtained for the total magnetization is 3.09 μB per formula unit.